Below is an optimized crystal structure of Ba4SbTe3, with properties calculated at the PBE level.

Computed properties:
The total energy is -4.160 eV per atom. The value obtained for the uncorrected formation energy is -1.51 eV per atom.

Lattice parameters (Å, degrees): 7.0837 7.0837 7.0837 90.00 90.00 90.00
Last column: nearest neighbours and their distance in Å.
Space group Pm-3m (No. 221)
One atom of each set of equivalent atoms:
1 Ba 0.0000 0.0000 0.0000 x1  6 Te 3.54
2 Ba 0.0000 0.5000 0.5000 x3  2 Sb 3.54, 4 Te 3.54
3 Sb 0.5000 0.5000 0.5000 x1  6 Ba 3.54
4 Te 0.0000 0.0000 0.5000 x3  6 Ba 3.54